Entry 1:
# BeSbAs2

A geometry-optimized BeSbAs2 structure (GGA-PBE, the Alexandria database).

Cell lengths 5.036, 5.036, 6.049 Å; angles 90.00, 90.00, 90.00 degrees
Space group I-4m2 (No. 119)
Inequivalent atoms, fractional coordinates:
Be  0.000  0.000  0.000
Sb  0.000  0.500  0.250
As  0.000  0.000  0.500
As  0.000  0.500  0.750

relative energy among the computed polymorphs	565	meV per atom
magnetization	0.00	μB/f.u.
E	-29.55	eV/cell


Entry 2:
# AcBiIrRh

A geometry-optimized AcBiIrRh structure (GGA-PBE, the Alexandria database).

Cell lengths 7.142, 7.142, 7.142 Å; angles 90.00, 90.00, 90.00 degrees
Space group F-43m (No. 216)
Inequivalent atoms, fractional coordinates:
Ac  0.000  0.000  0.000
Bi  0.000  0.000  0.500
Ir  0.250  0.250  0.750
Rh  0.250  0.250  0.250

magnetization	0.00	μB/f.u.
E	-99.45	eV/cell
calculated formation energy	-0.17	eV per atom


Entry 3:
# Cs2NaPbI6

A geometry-optimized Cs2NaPbI6 structure (GGA-PBE, the Alexandria database).

Cell lengths 12.487, 12.487, 12.487 Å; angles 90.00, 90.00, 90.00 degrees
Space group Fm-3m (No. 225)
Inequivalent atoms, fractional coordinates:
Cs  0.250  0.250  0.250
Na  0.000  0.000  0.000
Pb  0.000  0.000  0.500
I  0.000  0.000  0.252

magnetization	0.00	μB/f.u.
E	-104.09	eV/cell


Entry 4:
# Mg4Si6Ir7

A geometry-optimized Mg4Si6Ir7 structure (GGA-PBE, the Alexandria database).

Cell lengths 8.010, 8.010, 8.010 Å; angles 90.00, 90.00, 90.00 degrees
Space group Im-3m (No. 229)
Inequivalent atoms, fractional coordinates:
Mg  0.250  0.250  0.250
Si  0.000  0.000  0.313
Ir  0.000  0.000  0.000
Ir  0.000  0.250  0.500

magnetization	0.00	μB/f.u.
E	-222.81	eV/cell


Entry 5:
# Sc2WI

A geometry-optimized Sc2WI structure (GGA-PBE, the Alexandria database).

Cell lengths 6.065, 6.065, 13.509 Å; angles 90.00, 90.00, 90.00 degrees
Space group I-42d (No. 122)
Inequivalent atoms, fractional coordinates:
Sc  0.179  0.250  0.125
W  0.000  0.000  0.000
I  0.000  0.000  0.500

relative energy among the computed polymorphs	687	meV per atom
magnetization	0.81	μB/f.u.
E	-92.71	eV/cell


Entry 6:
# IrRu2N

A geometry-optimized IrRu2N structure (GGA-PBE, the Alexandria database).

Cell lengths 5.916, 5.916, 5.916 Å; angles 90.00, 90.00, 90.00 degrees
Space group Fm-3m (No. 225)
Inequivalent atoms, fractional coordinates:
Ir  0.000  0.000  0.000
Ru  0.250  0.250  0.250
N  0.000  0.000  0.500

relative energy among the computed polymorphs	795	meV per atom
magnetization	0.96	μB/f.u.
E	-122.73	eV/cell